(1)
A plane-wave DFT calculation with GGA-PBE was carried out for RbCoRe after structural relaxation.

It has space group F-43m (No. 216), with a = 6.398 Å, b = 6.398 Å, c = 6.398 Å, α = 90.00°, β = 90.00° and γ = 90.00°. Symmetry generates all atoms from Rb at (0.000, 0.000, 0.000), Co at (0.250, 0.250, 0.250) and Re at (0.000, 0.000, 0.500).

The value obtained for the size of the total moment is 12.019 μB/cell. The calculation puts the distance to the lowest polymorph of the same formula at 0 meV per atom.

(2)
A plane-wave DFT calculation with GGA-PBE was carried out for LuFeTcBi after structural relaxation.

It has space group F-43m (No. 216), with a = 6.574 Å, b = 6.574 Å, c = 6.574 Å, α = 90.00°, β = 90.00° and γ = 90.00°. Symmetry generates all atoms from Lu at (0.000, 0.000, 0.000), Fe at (0.250, 0.250, 0.750), Tc at (0.250, 0.250, 0.250) and Bi at (0.000, 0.000, 0.500).

The value obtained for the size of the total moment is 3.639 μB/cell. The calculation puts the distance to the lowest polymorph of the same formula at 0 meV per atom.

(3)
A plane-wave DFT calculation with GGA-PBE was carried out for DyB4Sb after structural relaxation.

It has space group P6/mmm (No. 191), with a = 3.2313 Å, b = 3.2313 Å, c = 8.0053 Å, α = 90.00°, β = 90.00° and γ = 120.00°. Symmetry generates all atoms from Dy at (0.0000, 0.0000, 0.0000), B at (0.3333, 0.6667, 0.2389) and Sb at (0.0000, 0.0000, 0.5000).

The value obtained for the size of the total moment is 0.002 μB/cell. The calculation puts the distance to the lowest polymorph of the same formula at 81 meV per atom.

(4)
A plane-wave DFT calculation with GGA-PBE was carried out for YZn3C3 after structural relaxation.

It has space group P6_3/mmc (No. 194), with a = 3.5040 Å, b = 3.5040 Å, c = 17.3099 Å, α = 90.00°, β = 90.00° and γ = 120.00°. Symmetry generates all atoms from Y at (0.0000, 0.0000, 0.0000), Zn at (0.3333, 0.6667, 0.1313), Zn at (0.3333, 0.6667, 0.7500), C at (0.3333, 0.6667, 0.2500) and C at (0.3333, 0.6667, 0.5844).

The value obtained for the size of the total moment is 0.003 μB/cell. The calculation puts the energy at -33.5 eV per formula unit.

(5)
A plane-wave DFT calculation with GGA-PBE was carried out for NdSmCu4 after structural relaxation.

It has space group Imm2 (No. 44), with a = 4.322 Å, b = 7.072 Å, c = 7.445 Å, α = 90.00°, β = 90.00° and γ = 90.00°. Symmetry generates all atoms from Nd at (0.000, 0.000, 0.000), Sm at (0.000, 0.500, 0.927), Cu at (0.000, 0.204, 0.628) and Cu at (0.000, 0.296, 0.298).

The value obtained for the size of the total moment is 0.025 μB/cell. Its energy of formation is -21.3 kJ/mol of atoms.

(6)
A plane-wave DFT calculation with GGA-PBE was carried out for PuSc4Pt5 after structural relaxation.

It has space group P4/mmm (No. 123), with a = 3.321 Å, b = 3.321 Å, c = 16.843 Å, α = 90.00°, β = 90.00° and γ = 90.00°. Symmetry generates all atoms from Pu at (0.000, 0.000, 0.000), Sc at (0.000, 0.000, 0.210), Sc at (0.000, 0.000, 0.403), Pt at (0.500, 0.500, 0.116), Pt at (0.500, 0.500, 0.307) and Pt at (0.500, 0.500, 0.500).

The value obtained for the size of the total moment is 5.481 μB/cell. Its energy of formation is -111.0 kJ/mol of atoms.

(7)
A plane-wave DFT calculation with GGA-PBE was carried out for GdErZn2Ge2 after structural relaxation.

It has space group P6_3/mmc (No. 194), with a = 4.2451 Å, b = 4.2451 Å, c = 15.5917 Å, α = 90.00°, β = 90.00° and γ = 120.00°. Symmetry generates all atoms from Gd at (0.0000, 0.0000, 0.0000), Er at (0.0000, 0.0000, 0.2500), Zn at (0.3333, 0.6667, 0.1482) and Ge at (0.3333, 0.6667, 0.6137).

The value obtained for the size of the total moment is 0.001 μB/cell. The calculation puts the distance to the lowest polymorph of the same formula at 0 meV per atom.

(8)
A plane-wave DFT calculation with GGA-PBE was carried out for Cs2Rb2CdP2 after structural relaxation.

It has space group R-3m (No. 166, hexagonal axes), with a = 6.0245 Å, b = 6.0245 Å, c = 28.5793 Å, α = 90.00°, β = 90.00° and γ = 120.00°. Symmetry generates all atoms from Cs at (0.0000, 0.0000, 0.2083), Rb at (0.0000, 0.0000, 0.3891), Cd at (0.0000, 0.0000, 0.0000) and P at (0.0000, 0.0000, 0.0845).

The calculation puts the distance to the lowest polymorph of the same formula at 0 meV per atom.

Number 1 is which compound?
RbCoRe